First-principles (GGA-PBE) data for a geometry-optimized TbUSeN2 structure, as listed in Alexandria via LeMat-Bulk.

a b c (Å): 3.835 3.835 6.684
angles (deg): 106.67 106.67 90.00
Fractional coordinates of all 5 atoms:
Se 0.504 0.504 0.008
Tb 0.847 0.847 0.695
N 0.743 0.243 0.487
N 0.243 0.743 0.487
U 0.162 0.162 0.324

Calculated values
- Crystal system: tetragonal
- Space-group type: No. 107
- Raw formation energy: -1.582 eV/atom

***

First-principles (GGA-PBE) data for a geometry-optimized MgMn2Pd9 structure, as listed in Alexandria via LeMat-Bulk.

a b c (Å): 3.936 3.936 11.824
angles (deg): 90.00 90.00 90.00
Fractional coordinates of all 12 atoms:
Mn 0.000 0.000 0.666
Mn 0.000 0.000 0.334
Pd 0.000 0.500 0.830
Pd 0.500 0.000 0.500
Pd 0.500 0.500 0.665
Pd 0.500 0.500 0.000
Pd 0.000 0.500 0.170
Pd 0.500 0.000 0.170
Pd 0.000 0.500 0.500
Pd 0.500 0.000 0.830
Pd 0.500 0.500 0.335
Mg 0.000 0.000 0.000

Calculated values
- Crystal system: tetragonal
- Calculated formation energy: -305 meV/atom
- Space-group type: No. 123

***

First-principles (GGA-PBE) data for a geometry-optimized BaP2Pb structure, as listed in Alexandria via LeMat-Bulk.

a b c (Å): 6.054 6.054 6.054
angles (deg): 47.89 47.89 47.89
Fractional coordinates of all 4 atoms:
P 0.541 0.541 0.541
P 0.959 0.959 0.959
Ba 0.750 0.750 0.750
Pb 0.250 0.250 0.250

Calculated values
- Crystal system: trigonal
- Calculated formation energy: -203 meV/atom
- Space-group type: No. 166

***

First-principles (GGA-PBE) data for a geometry-optimized PmMgCd11 structure, as listed in Alexandria via LeMat-Bulk.

a b c (Å): 5.987 7.648 7.633
angles (deg): 81.19 66.91 67.01
Fractional coordinates of all 13 atoms:
Cd 0.292 0.214 0.212
Cd 0.708 0.786 0.788
Cd 0.000 0.000 0.500
Cd 0.495 0.786 0.212
Cd 0.005 0.649 0.348
Cd 0.995 0.351 0.652
Cd 0.647 0.351 0.348
Cd 0.505 0.214 0.788
Cd 0.500 0.000 0.500
Cd 0.000 0.500 0.000
Cd 0.353 0.649 0.652
Pm 0.000 0.000 0.000
Mg 0.500 0.500 0.000

Calculated values
- Crystal system: monoclinic
- Calculated formation energy: -132 meV/atom
- Space-group type: No. 12

***

First-principles (GGA-PBE) data for a geometry-optimized KPaSn2 structure, as listed in Alexandria via LeMat-Bulk.

a b c (Å): 3.312 3.312 10.357
angles (deg): 90.00 90.00 90.00
Fractional coordinates of all 4 atoms:
Pa 0.500 0.500 0.000
Sn 0.000 0.000 0.772
Sn 0.000 0.000 0.228
K 0.500 0.500 0.500

Calculated values
- Offset from the most stable computed form: 0.00 eV/f.u.
- Crystal system: tetragonal
- Calculated formation energy: -162 meV/atom
- Space-group type: No. 123

***

First-principles (GGA-PBE) data for a geometry-optimized HfMg3Fe structure, as listed in Alexandria via LeMat-Bulk.

a b c (Å): 4.685 4.685 4.685
angles (deg): 90.00 90.00 90.00
Fractional coordinates of all 5 atoms:
Mg 0.000 0.000 0.500
Mg 0.500 0.000 0.000
Mg 0.000 0.500 0.000
Fe 0.000 0.000 0.000
Hf 0.500 0.500 0.500

Calculated values
- Crystal system: cubic
- Calculated formation energy: 751 meV/atom
- Space-group type: No. 221

***

Number 1: total magnetization 0.20 μB per atom. Number 2: total magnetization 0.72 μB per atom. Number 3: total magnetization 0.00 μB per atom. Number 4: total magnetization 0.00 μB per atom. Number 5: total magnetization 0.03 μB per atom. Number 6: total magnetization 0.00 μB per atom.